A relaxed structure of Zr4FeTc, computed with PBE.

Summary:
- Formation enthalpy at 0 K: -0.163 eV/atom
- Relative energy among the computed polymorphs: 0.0 kJ per mole of atoms
- DFT total energy: -9.000 eV/atom

a = 3.295 Å, b = 3.295 Å, c = 10.518 Å
α = 90.00°, β = 90.00°, γ = 90.00°
Sites, in units of the cell vectors:
Zr  0.000  0.000  0.146
Zr  0.000  0.000  0.854
Zr  0.500  0.500  0.348
Zr  0.500  0.500  0.652
Fe  0.500  0.500  0.000
Tc  0.000  0.000  0.500